Entry 1:
Cs3Pa2S7 after structural relaxation. Source: the Alexandria database, functional GGA-PBE.

Lattice parameters (Å, degrees): 18.183 18.183 5.333 90.00 90.00 163.13
Sites, in units of the cell vectors:
1 Cs 0.000 0.000 0.000
2 Cs 0.146 0.854 0.000
3 Cs 0.854 0.146 0.000
4 Pa 0.425 0.575 0.500
5 Pa 0.575 0.425 0.500
6 S 0.073 0.927 0.500
7 S 0.355 0.645 0.500
8 S 0.427 0.573 0.000
9 S 0.500 0.500 0.500
10 S 0.573 0.427 0.000
11 S 0.645 0.355 0.500
12 S 0.927 0.073 0.500

Computed properties:
**SG**: Cmmm (65)
**D(E_F)**: 0.3447 states/eV per atom
**Formation energy from raw total energies**: -1.44 eV per atom

***

Entry 2:
Cr2CoBr after structural relaxation. Source: the Alexandria database, functional GGA-PBE.

Lattice parameters (Å, degrees): 3.107 3.107 6.372 90.00 90.00 90.14
Sites, in units of the cell vectors:
1 Cr 0.000 0.000 0.000
2 Cr 0.500 0.500 0.225
3 Co 0.500 0.500 0.828
4 Br 0.000 0.000 0.525

Computed properties:
**SG**: Cmm2 (35)
**D(E_F)**: 0.9855 states/eV per atom
**Formation energy from raw total energies**: 0.51 eV per atom
**Distance to the lowest polymorph of the same formula**: 63 meV/atom

***

Entry 3:
Rb5Hg5Au2 after structural relaxation. Source: the Alexandria database, functional GGA-PBE.

Lattice parameters (Å, degrees): 9.580 9.580 13.840 129.64 129.64 30.19
Sites, in units of the cell vectors:
1 Rb 0.000 0.000 0.000
2 Rb 0.305 0.305 0.422
3 Rb 0.380 0.380 0.181
4 Rb 0.620 0.620 0.819
5 Rb 0.695 0.695 0.578
6 Hg 0.000 0.000 0.500
7 Hg 0.066 0.066 0.321
8 Hg 0.289 0.289 0.843
9 Hg 0.711 0.711 0.157
10 Hg 0.934 0.934 0.679
11 Au 0.386 0.386 0.743
12 Au 0.614 0.614 0.257

Computed properties:
**SG**: C2/m (12)
**Formation energy from the elements**: -0.27 eV/atom
**D(E_F)**: 0.3626 states/eV per atom

***

Entry 4:
KIn2Ru after structural relaxation. Source: the Alexandria database, functional GGA-PBE.

Lattice parameters (Å, degrees): 6.799 6.799 6.799 154.68 126.87 59.74
Sites, in units of the cell vectors:
1 K 0.000 0.000 0.000
2 In 0.308 0.808 0.500
3 In 0.692 0.192 0.500
4 Ru 0.500 0.500 0.000

Computed properties:
**SG**: Immm (71)
**Formation energy from the elements**: 0.37 eV/atom
**D(E_F)**: 0.7803 states/eV per atom
**Distance to the lowest polymorph of the same formula**: 262 meV/atom

***

Entry 5:
SeN3Cl after structural relaxation. Source: the Alexandria database, functional GGA-PBE.

Lattice parameters (Å, degrees): 3.791 3.791 3.791 90.00 90.00 90.00
Sites, in units of the cell vectors:
1 Se 0.000 0.000 0.000
2 N 0.000 0.500 0.500
3 N 0.500 0.000 0.500
4 N 0.500 0.500 0.000
5 Cl 0.500 0.500 0.500

Computed properties:
**SG**: Pm-3m (221)
**D(E_F)**: 0.5895 states/eV per atom
**Formation energy from raw total energies**: 2.92 eV per atom

***

Entry 6:
Cs3Hg4Te2I2 after structural relaxation. Source: the Alexandria database, functional GGA-PBE.

Lattice parameters (Å, degrees): 19.989 19.989 19.989 163.10 163.10 23.99
Sites, in units of the cell vectors:
1 Cs 0.000 0.000 0.000
2 Cs 0.203 0.203 0.000
3 Cs 0.797 0.797 0.000
4 Hg 0.070 0.570 0.500
5 Hg 0.430 0.930 0.500
6 Hg 0.570 0.070 0.500
7 Hg 0.930 0.430 0.500
8 Te 0.433 0.433 0.000
9 Te 0.567 0.567 0.000
10 I 0.299 0.299 0.000
11 I 0.701 0.701 0.000

Computed properties:
**SG**: I4/mmm (139)
**D(E_F)**: 0.7679 states/eV per atom
**Formation energy from raw total energies**: -0.57 eV per atom

***

Entry 7:
ZrNiTeRu2 after structural relaxation. Source: the Alexandria database, functional GGA-PBE.

Lattice parameters (Å, degrees): 4.833 4.833 4.634 90.00 90.00 90.00
Sites, in units of the cell vectors:
1 Zr 0.000 0.000 0.000
2 Ni 0.000 0.000 0.500
3 Te 0.500 0.500 0.500
4 Ru 0.000 0.500 0.000
5 Ru 0.500 0.000 0.000

Computed properties:
**SG**: P4/mmm (123)
**D(E_F)**: 0.9291 states/eV per atom
**Formation energy from raw total energies**: 1.29 eV per atom

***

Entry 8:
CuAuCl2 after structural relaxation. Source: the Alexandria database, functional GGA-PBE.

Lattice parameters (Å, degrees): 7.417 7.417 7.417 151.81 151.81 40.28
Sites, in units of the cell vectors:
1 Cu 0.000 0.000 0.000
2 Au 0.250 0.750 0.500
3 Cl 0.500 0.500 0.000
4 Cl 0.750 0.250 0.500

Computed properties:
**SG**: I-4m2 (119)
**D(E_F)**: 0.3406 states/eV per atom
**Formation energy from raw total energies**: 0.04 eV per atom
**Distance to the lowest polymorph of the same formula**: 269 meV/atom